# La2Te6WO18

An optimized crystal structure of La2Te6WO18 (PBE+U, Alexandria).

Summary:
Calculated volume in Å³/atom: 15.8
Crystal system: trigonal
M_tot in μB/f.u.: 0.000
Total DFT energy (no corrections) in eV per atom: -6.31

abc: 6.9099 6.9099 20.6474
angles: 90.00 90.00 120.00
Space group P3c1 (No. 158)
Inequivalent atoms, fractional coordinates:
La 0.0000 0.0000 0.0000
La 0.3333 0.6667 0.0100
Te 0.0352 0.3330 0.1678
Te 0.0425 0.3321 0.8413
W 0.6667 0.3333 0.0339
O 0.0000 0.0000 0.3502
O 0.0514 0.2975 0.0773
O 0.0836 0.4290 0.3167
O 0.0970 0.3619 0.9306
O 0.2446 0.0076 0.6920
O 0.3333 0.6667 0.1513
O 0.4217 0.0820 0.5038
O 0.6667 0.3333 0.1229